The following is a GGA-PBEsol calculation of a geometry-optimized ZrAgAu structure, from the Alexandria database.

a b c (Å): 5.041 5.041 5.041
angles (deg): 143.44 134.30 59.89
Fractional coordinates of all 3 atoms:
1 Zr 0.000 0.000 0.000
2 Ag 0.672 0.672 0.000
3 Au 0.334 0.334 0.000

Calculated values
excess energy over the best structure of this formula in the dataset: 0 meV per atom
density of states at the Fermi level: 1.6 states/eV/f.u.
energy of formation: -0.39 eV/atom